1.
A crystal of HfCdCo2F relaxed with PBEsol. Source: Alexandria, functional meta-GGA SCAN.

Cell: 4.600 4.600 5.210 Å, 90.00 90.00 90.00°
Site moments in Bohr magnetons follow the coordinates.
Element x y z (fractional)
Co 0.500 0.000 0.000  2.07
Cd 0.000 0.000 0.000  0.02
Hf 0.000 0.000 0.500  -0.39
F 0.500 0.500 0.500  0.01
Co 0.000 0.500 0.000  2.07

E_form (uncorrected) in eV/atom: 1.145
Density in g cm⁻³: 6.445

=====

2.
A crystal of CdCo2OF relaxed with PBEsol. Source: Alexandria, functional meta-GGA SCAN.

Cell: 3.630 3.630 4.875 Å, 90.00 90.00 90.00°
Site moments in Bohr magnetons follow the coordinates.
Element x y z (fractional)
Cd 0.500 0.500 0.500  -0.04
O 0.000 0.000 0.500  0.06
Co 0.500 0.000 0.000  1.71
Co 0.000 0.500 0.000  1.71
F 0.000 0.000 0.000  -0.01

E_form (uncorrected) in eV/atom: -0.078
Density in g cm⁻³: 6.856

=====

3.
A crystal of CdCoRu2F relaxed with PBEsol. Source: Alexandria, functional meta-GGA SCAN.

Cell: 4.020 4.020 4.571 Å, 90.00 90.00 90.00°
Site moments in Bohr magnetons follow the coordinates.
Element x y z (fractional)
F 0.000 0.000 0.000  -0.01
Ru 0.000 0.500 0.000  1.17
Cd 0.000 0.000 0.500  -0.03
Ru 0.500 0.000 0.000  1.17
Co 0.500 0.500 0.500  2.06

E_form (uncorrected) in eV/atom: 0.741
Density in g cm⁻³: 8.823

=====

4.
A crystal of TaCdCo2F relaxed with PBEsol. Source: Alexandria, functional meta-GGA SCAN.

Cell: 4.056 4.135 4.135 Å, 90.00 90.00 90.00°
Site moments in Bohr magnetons follow the coordinates.
Element x y z (fractional)
Co 0.000 0.500 0.000  1.92
Cd 0.500 0.500 0.500  -0.01
Ta 0.500 0.000 0.000  0.15
Co 0.000 0.000 0.500  1.92
F 0.000 0.000 0.000  0.08

E_form (uncorrected) in eV/atom: 0.161
Density in g cm⁻³: 10.300

=====

5.
A crystal of CdFe2Co relaxed with PBEsol. Source: Alexandria, functional meta-GGA SCAN.

Cell: 3.698 3.698 4.582 Å, 113.80 113.80 90.00°
Site moments in Bohr magnetons follow the coordinates.
Element x y z (fractional)
Cd 0.500 0.500 0.000  -0.11
Fe 0.750 0.250 0.500  2.88
Fe 0.250 0.750 0.500  2.88
Co 0.000 0.000 0.000  1.74

Density in g cm⁻³: 9.136
Calculated formation energy in eV per atom: 0.181

=====

6.
A crystal of CdFe2Co relaxed with PBEsol. Source: Alexandria, functional meta-GGA SCAN.

Cell: 3.773 3.773 4.481 Å, 114.90 114.90 90.00°
Site moments in Bohr magnetons follow the coordinates.
Element x y z (fractional)
Co 0.250 0.750 0.500  1.76
Fe 0.000 0.000 0.000  2.76
Fe 0.750 0.250 0.500  2.88
Cd 0.500 0.500 0.000  -0.10

Density in g cm⁻³: 9.171
Calculated formation energy in eV per atom: 0.270

=====

7.
A crystal of Cd3FeCo relaxed with PBEsol. Source: Alexandria, functional meta-GGA SCAN.

Cell: 4.813 4.813 4.813 Å, 90.00 90.00 90.00°
Site moments in Bohr magnetons follow the coordinates.
Element x y z (fractional)
Cd 0.000 0.500 0.000  -0.04
Cd 0.000 0.000 0.500  -0.04
Co 0.500 0.500 0.500  2.39
Cd 0.500 0.000 0.000  -0.04
Fe 0.000 0.000 0.000  2.60

Density in g cm⁻³: 6.730
Calculated formation energy in eV per atom: 1.038

=====

8.
A crystal of Cd2FeCo relaxed with PBEsol. Source: Alexandria, functional meta-GGA SCAN.

Cell: 3.014 4.517 5.210 Å, 115.69 106.81 90.00°
Site moments in Bohr magnetons follow the coordinates.
Element x y z (fractional)
Cd 0.233 0.733 0.466  -0.05
Fe 0.781 0.281 0.563  2.99
Cd 0.013 0.013 0.027  -0.04
Co 0.473 0.473 0.945  1.76

Density in g cm⁻³: 9.316
Calculated formation energy in eV per atom: 0.250

=====

9.
A crystal of CdFeCo2 relaxed with PBEsol. Source: Alexandria, functional meta-GGA SCAN.

Cell: 2.589 2.589 8.234 Å, 90.00 90.00 110.51°
Site moments in Bohr magnetons follow the coordinates.
Element x y z (fractional)
Co 0.000 0.000 0.722  1.89
Cd 0.500 0.500 0.000  -0.03
Fe 0.500 0.500 0.500  2.92
Co 0.000 0.000 0.278  1.89

Density in g cm⁻³: 9.189
Calculated formation energy in eV per atom: 0.184

=====

10.
A crystal of CdFe2Co relaxed with PBEsol. Source: Alexandria, functional meta-GGA SCAN.

Cell: 3.675 3.675 3.808 Å, 90.00 90.00 90.00°
Site moments in Bohr magnetons follow the coordinates.
Element x y z (fractional)
Fe 0.500 0.000 0.000  2.84
Fe 0.000 0.500 0.000  2.84
Co 0.000 0.000 0.500  1.71
Cd 0.500 0.500 0.500  -0.12

Density in g cm⁻³: 9.139
Calculated formation energy in eV per atom: 0.186

=====

11.
A crystal of CdFeCo relaxed with PBEsol. Source: Alexandria, functional meta-GGA SCAN.

Cell: 4.054 4.054 4.054 Å, 60.00 60.00 60.00°
Site moments in Bohr magnetons follow the coordinates.
Element x y z (fractional)
Cd 0.500 0.500 0.500  -0.08
Fe 0.000 0.000 0.000  3.10
Co 0.250 0.250 0.250  1.68

Relative energy among the computed polymorphs in eV/f.u.: 1.13
Density in g cm⁻³: 8.007
Calculated formation energy in eV per atom: 0.602

=====

12.
A crystal of CdFe2Co relaxed with PBEsol. Source: Alexandria, functional meta-GGA SCAN.

Cell: 2.945 2.944 5.969 Å, 90.00 90.00 90.00°
Site moments in Bohr magnetons follow the coordinates.
Element x y z (fractional)
Co 0.500 0.500 0.795  1.69
Cd 0.000 0.000 0.504  -0.08
Fe 0.500 0.500 0.205  2.87
Fe 0.000 0.000 0.996  2.75

Density in g cm⁻³: 9.084
Calculated formation energy in eV per atom: 0.114

=====

13.
A crystal of CdFeCo relaxed with PBEsol. Source: Alexandria, functional meta-GGA SCAN.

Cell: 2.681 4.176 4.176 Å, 120.00 90.00 90.00°
Site moments in Bohr magnetons follow the coordinates.
Element x y z (fractional)
Co 0.580 0.333 0.667  1.90
Cd 0.999 0.000 0.000  -0.06
Fe 0.422 0.667 0.333  2.99

Relative energy among the computed polymorphs in eV/f.u.: 0.00
Density in g cm⁻³: 9.318
Calculated formation energy in eV per atom: 0.227

=====

14.
A crystal of CdGaCo3 relaxed with PBEsol. Source: Alexandria, functional meta-GGA SCAN.

Cell: 4.602 4.602 4.602 Å, 90.00 90.00 90.00°
Site moments in Bohr magnetons follow the coordinates.
Element x y z (fractional)
Co 0.500 0.000 0.000  2.08
Co 0.000 0.500 0.000  2.08
Ga 0.500 0.500 0.500  -0.02
Cd 0.000 0.000 0.000  -0.13
Co 0.000 0.000 0.500  2.08

Relative energy among the computed polymorphs in eV/f.u.: 3.87
Density in g cm⁻³: 6.115
Calculated formation energy in eV per atom: 1.614

=====

15.
A crystal of CdGaCo3 relaxed with PBEsol. Source: Alexandria, functional meta-GGA SCAN.

Cell: 4.290 4.290 4.290 Å, 90.00 90.00 90.00°
Site moments in Bohr magnetons follow the coordinates.
Element x y z (fractional)
Co 0.000 0.000 0.500  1.77
Ga 0.000 0.000 0.000  -0.14
Co 0.000 0.500 0.000  1.77
Co 0.500 0.000 0.000  1.77
Cd 0.500 0.500 0.500  -0.07

Relative energy among the computed polymorphs in eV/f.u.: 0.00
Density in g cm⁻³: 7.552
Calculated formation energy in eV per atom: 0.840